This record from Alexandria via LeMat-Bulk describes a PBEsol-optimized structure of AlGaSeBr2. The functional is SCAN.

Output
Formation energy (no corrections) (eV per atom): -0.502
D(E_F) (states/eV/cell): 0.7

Lattice parameters (Å, degrees): 5.069 5.069 4.872 90.00 90.00 90.00
Fractional coordinates of all 5 atoms:
Al 0.000 0.000 0.000
Ga 0.500 0.500 0.500
Se 0.000 0.000 0.500
Br 0.000 0.500 0.000
Br 0.500 0.000 0.000


This record from Alexandria via LeMat-Bulk describes a PBEsol-optimized structure of AlGeBr2. The functional is SCAN.

Output
Formation energy (no corrections) (eV per atom): 0.028
D(E_F) (states/eV/cell): 4.3

Lattice parameters (Å, degrees): 3.464 3.464 27.998 90.00 90.00 120.00
Fractional coordinates of all 12 atoms:
Al 0.000 0.000 0.000
Al 0.333 0.667 0.667
Al 0.667 0.333 0.333
Ge 0.000 0.000 0.500
Ge 0.333 0.667 0.167
Ge 0.667 0.333 0.833
Br 0.000 0.000 0.404
Br 0.000 0.000 0.596
Br 0.333 0.667 0.071
Br 0.333 0.667 0.263
Br 0.667 0.333 0.737
Br 0.667 0.333 0.929


This record from Alexandria via LeMat-Bulk describes a PBEsol-optimized structure of Li4Al3Ge3BrO12. The functional is SCAN.

Output
Formation energy (no corrections) (eV per atom): -2.452
D(E_F) (states/eV/cell): 0.0

Lattice parameters (Å, degrees): 8.648 8.648 8.648 90.00 90.00 90.00
Fractional coordinates of all 46 atoms:
Li 0.178 0.178 0.178
Li 0.178 0.822 0.822
Li 0.322 0.322 0.678
Li 0.322 0.678 0.322
Li 0.678 0.322 0.322
Li 0.678 0.678 0.678
Li 0.822 0.178 0.822
Li 0.822 0.822 0.178
Al 0.000 0.250 0.500
Al 0.000 0.750 0.500
Al 0.250 0.500 0.000
Al 0.500 0.000 0.250
Al 0.500 0.000 0.750
Al 0.750 0.500 0.000
Ge 0.000 0.500 0.250
Ge 0.000 0.500 0.750
Ge 0.250 0.000 0.500
Ge 0.500 0.250 0.000
Ge 0.500 0.750 0.000
Ge 0.750 0.000 0.500
Br 0.000 0.000 0.000
Br 0.500 0.500 0.500
O 0.099 0.362 0.638
O 0.099 0.638 0.362
O 0.138 0.138 0.401
O 0.138 0.401 0.138
O 0.138 0.599 0.862
O 0.138 0.862 0.599
O 0.362 0.099 0.638
O 0.362 0.362 0.901
O 0.362 0.638 0.099
O 0.362 0.901 0.362
O 0.401 0.138 0.138
O 0.401 0.862 0.862
O 0.599 0.138 0.862
O 0.599 0.862 0.138
O 0.638 0.099 0.362
O 0.638 0.362 0.099
O 0.638 0.638 0.901
O 0.638 0.901 0.638
O 0.862 0.138 0.599
O 0.862 0.401 0.862
O 0.862 0.599 0.138
O 0.862 0.862 0.401
O 0.901 0.362 0.362
O 0.901 0.638 0.638


This record from Alexandria via LeMat-Bulk describes a PBEsol-optimized structure of Na4Al3Ge3BrO12. The functional is SCAN.

Output
Formation energy (no corrections) (eV per atom): -2.404
D(E_F) (states/eV/cell): 0.0

Lattice parameters (Å, degrees): 9.116 9.116 9.116 90.00 90.00 90.00
Fractional coordinates of all 46 atoms:
Na 0.182 0.182 0.182
Na 0.182 0.818 0.818
Na 0.318 0.318 0.682
Na 0.318 0.682 0.318
Na 0.682 0.318 0.318
Na 0.682 0.682 0.682
Na 0.818 0.182 0.818
Na 0.818 0.818 0.182
Al 0.000 0.250 0.500
Al 0.000 0.750 0.500
Al 0.250 0.500 0.000
Al 0.500 0.000 0.250
Al 0.500 0.000 0.750
Al 0.750 0.500 0.000
Ge 0.000 0.500 0.250
Ge 0.000 0.500 0.750
Ge 0.250 0.000 0.500
Ge 0.500 0.250 0.000
Ge 0.500 0.750 0.000
Ge 0.750 0.000 0.500
Br 0.000 0.000 0.000
Br 0.500 0.500 0.500
O 0.071 0.355 0.645
O 0.071 0.645 0.355
O 0.145 0.145 0.429
O 0.145 0.429 0.145
O 0.145 0.571 0.855
O 0.145 0.855 0.571
O 0.355 0.071 0.645
O 0.355 0.355 0.929
O 0.355 0.645 0.071
O 0.355 0.929 0.355
O 0.429 0.145 0.145
O 0.429 0.855 0.855
O 0.571 0.145 0.855
O 0.571 0.855 0.145
O 0.645 0.071 0.355
O 0.645 0.355 0.071
O 0.645 0.645 0.929
O 0.645 0.929 0.645
O 0.855 0.145 0.571
O 0.855 0.429 0.855
O 0.855 0.571 0.145
O 0.855 0.855 0.429
O 0.929 0.355 0.355
O 0.929 0.645 0.645


This record from Alexandria via LeMat-Bulk describes a PBEsol-optimized structure of AlH15Br3N5. The functional is SCAN.

Output
Electronic total energy (eV per atom): -7.53
D(E_F) (states/eV/cell): 0.0

Lattice parameters (Å, degrees): 13.759 10.916 6.659 90.00 90.00 90.00
Fractional coordinates of all 96 atoms:
Al 0.097 0.250 0.201
Al 0.403 0.750 0.701
Al 0.597 0.250 0.299
Al 0.903 0.750 0.799
H 0.011 0.250 0.563
H 0.020 0.034 0.208
H 0.020 0.466 0.208
H 0.053 0.674 0.607
H 0.053 0.826 0.607
H 0.118 0.026 0.067
H 0.118 0.474 0.067
H 0.128 0.025 0.315
H 0.128 0.475 0.315
H 0.186 0.173 0.884
H 0.186 0.327 0.884
H 0.193 0.173 0.508
H 0.193 0.327 0.508
H 0.228 0.750 0.870
H 0.234 0.750 0.523
H 0.266 0.250 0.023
H 0.272 0.250 0.370
H 0.307 0.673 0.008
H 0.307 0.827 0.008
H 0.314 0.673 0.384
H 0.314 0.827 0.384
H 0.372 0.525 0.815
H 0.372 0.975 0.815
H 0.382 0.526 0.567
H 0.382 0.974 0.567
H 0.447 0.174 0.107
H 0.447 0.326 0.107
H 0.480 0.534 0.708
H 0.480 0.966 0.708
H 0.489 0.750 0.063
H 0.511 0.250 0.937
H 0.520 0.034 0.292
H 0.520 0.466 0.292
H 0.553 0.674 0.893
H 0.553 0.826 0.893
H 0.618 0.026 0.433
H 0.618 0.474 0.433
H 0.628 0.025 0.185
H 0.628 0.475 0.185
H 0.686 0.173 0.616
H 0.686 0.327 0.616
H 0.693 0.173 0.992
H 0.693 0.327 0.992
H 0.728 0.750 0.630
H 0.734 0.750 0.977
H 0.766 0.250 0.477
H 0.772 0.250 0.130
H 0.807 0.673 0.492
H 0.807 0.827 0.492
H 0.814 0.673 0.116
H 0.814 0.827 0.116
H 0.872 0.525 0.685
H 0.872 0.975 0.685
H 0.882 0.526 0.933
H 0.882 0.974 0.933
H 0.947 0.174 0.393
H 0.947 0.326 0.393
H 0.980 0.534 0.792
H 0.980 0.966 0.792
H 0.989 0.750 0.437
Br 0.036 0.750 0.066
Br 0.156 0.509 0.689
Br 0.156 0.991 0.689
Br 0.344 0.009 0.189
Br 0.344 0.491 0.189
Br 0.464 0.250 0.566
Br 0.536 0.750 0.434
Br 0.656 0.509 0.811
Br 0.656 0.991 0.811
Br 0.844 0.009 0.311
Br 0.844 0.491 0.311
Br 0.964 0.250 0.934
N 0.008 0.750 0.587
N 0.091 0.065 0.197
N 0.091 0.435 0.197
N 0.194 0.250 0.976
N 0.200 0.250 0.416
N 0.300 0.750 0.916
N 0.306 0.750 0.476
N 0.409 0.565 0.697
N 0.409 0.935 0.697
N 0.492 0.250 0.087
N 0.508 0.750 0.913
N 0.591 0.065 0.303
N 0.591 0.435 0.303
N 0.694 0.250 0.524
N 0.700 0.250 0.084
N 0.800 0.750 0.584
N 0.806 0.750 0.024
N 0.909 0.565 0.803
N 0.909 0.935 0.803
N 0.992 0.250 0.413


This record from Alexandria via LeMat-Bulk describes a PBEsol-optimized structure of HfAlBr2. The functional is SCAN.

Output
Formation energy (no corrections) (eV per atom): 0.175
D(E_F) (states/eV/cell): 8.2
Distance to the lowest polymorph of the same formula (eV per atom): 0.291

Lattice parameters (Å, degrees): 6.793 6.793 6.793 90.00 90.00 90.00
Fractional coordinates of all 16 atoms:
Hf 0.000 0.000 0.000
Hf 0.000 0.500 0.500
Hf 0.500 0.000 0.500
Hf 0.500 0.500 0.000
Al 0.000 0.000 0.500
Al 0.000 0.500 0.000
Al 0.500 0.000 0.000
Al 0.500 0.500 0.500
Br 0.250 0.250 0.250
Br 0.250 0.250 0.750
Br 0.250 0.750 0.250
Br 0.250 0.750 0.750
Br 0.750 0.250 0.250
Br 0.750 0.250 0.750
Br 0.750 0.750 0.250
Br 0.750 0.750 0.750


This record from Alexandria via LeMat-Bulk describes a PBEsol-optimized structure of HfAlBr2. The functional is SCAN.

Output
Formation energy (no corrections) (eV per atom): -0.116
D(E_F) (states/eV/cell): 8.4
Distance to the lowest polymorph of the same formula (eV per atom): 0.000

Lattice parameters (Å, degrees): 3.396 3.396 29.483 90.00 90.00 120.00
Fractional coordinates of all 12 atoms:
Hf 0.000 0.000 0.000
Hf 0.333 0.667 0.667
Hf 0.667 0.333 0.333
Al 0.000 0.000 0.500
Al 0.333 0.667 0.167
Al 0.667 0.333 0.833
Br 0.000 0.000 0.085
Br 0.000 0.000 0.915
Br 0.333 0.667 0.581
Br 0.333 0.667 0.752
Br 0.667 0.333 0.248
Br 0.667 0.333 0.419


This record from Alexandria via LeMat-Bulk describes a PBEsol-optimized structure of AlHg2Br. The functional is SCAN.

Output
Formation energy (no corrections) (eV per atom): -0.150
D(E_F) (states/eV/cell): 4.9
Distance to the lowest polymorph of the same formula (eV per atom): 0.000

Lattice parameters (Å, degrees): 3.710 3.710 24.367 90.00 90.00 120.00
Fractional coordinates of all 12 atoms:
Al 0.000 0.000 0.000
Al 0.333 0.667 0.667
Al 0.667 0.333 0.333
Hg 0.000 0.000 0.486
Hg 0.000 0.000 0.736
Hg 0.333 0.667 0.153
Hg 0.333 0.667 0.402
Hg 0.667 0.333 0.069
Hg 0.667 0.333 0.819
Br 0.000 0.000 0.263
Br 0.333 0.667 0.930
Br 0.667 0.333 0.596


This record from Alexandria via LeMat-Bulk describes a PBEsol-optimized structure of AlHg2Br. The functional is SCAN.

Output
Formation energy (no corrections) (eV per atom): 0.056
D(E_F) (states/eV/cell): 1.0
Distance to the lowest polymorph of the same formula (eV per atom): 0.206

Lattice parameters (Å, degrees): 7.348 7.348 7.348 90.00 90.00 90.00
Fractional coordinates of all 16 atoms:
Al 0.000 0.000 0.000
Al 0.000 0.500 0.500
Al 0.500 0.000 0.500
Al 0.500 0.500 0.000
Hg 0.000 0.000 0.500
Hg 0.000 0.500 0.000
Hg 0.250 0.250 0.750
Hg 0.250 0.750 0.250
Hg 0.500 0.000 0.000
Hg 0.500 0.500 0.500
Hg 0.750 0.250 0.250
Hg 0.750 0.750 0.750
Br 0.250 0.250 0.250
Br 0.250 0.750 0.750
Br 0.750 0.250 0.750
Br 0.750 0.750 0.250


This record from Alexandria via LeMat-Bulk describes a PBEsol-optimized structure of AlHg2Br. The functional is SCAN.

Output
Formation energy (no corrections) (eV per atom): -0.149
D(E_F) (states/eV/cell): 3.4
Distance to the lowest polymorph of the same formula (eV per atom): 0.001

Lattice parameters (Å, degrees): 3.812 3.812 22.545 90.00 90.00 120.00
Fractional coordinates of all 12 atoms:
Al 0.000 0.000 0.000
Al 0.333 0.667 0.667
Al 0.667 0.333 0.333
Hg 0.000 0.000 0.260
Hg 0.000 0.000 0.740
Hg 0.333 0.667 0.406
Hg 0.333 0.667 0.927
Hg 0.667 0.333 0.073
Hg 0.667 0.333 0.594
Br 0.000 0.000 0.500
Br 0.333 0.667 0.167
Br 0.667 0.333 0.833


This record from Alexandria via LeMat-Bulk describes a PBEsol-optimized structure of AlHg4Br. The functional is SCAN.

Output
Formation energy (no corrections) (eV per atom): 0.131
D(E_F) (states/eV/cell): 1.9

Lattice parameters (Å, degrees): 6.023 6.023 6.023 60.00 60.00 60.00
Fractional coordinates of all 6 atoms:
Al 0.000 0.000 0.000
Hg 0.125 0.625 0.625
Hg 0.625 0.125 0.625
Hg 0.625 0.625 0.125
Hg 0.625 0.625 0.625
Br 0.250 0.250 0.250


This record from Alexandria via LeMat-Bulk describes a PBEsol-optimized structure of AlSeIBr2. The functional is SCAN.

Output
Formation energy (no corrections) (eV per atom): 0.413
D(E_F) (states/eV/cell): 2.1

Lattice parameters (Å, degrees): 5.708 5.708 5.336 90.00 90.00 90.00
Fractional coordinates of all 5 atoms:
Al 0.000 0.000 0.000
Se 0.500 0.500 0.000
I 0.500 0.500 0.500
Br 0.000 0.500 0.500
Br 0.500 0.000 0.500


Number 1: spin magnetization 0.00 μB/atom. Number 2: spin magnetization 0.00 μB/atom. Number 3: spin magnetization 0.01 μB/atom. Number 4: spin magnetization 0.01 μB/atom. Number 5: spin magnetization 0.00 μB/atom. Number 6: spin magnetization 0.00 μB/atom. Number 7: spin magnetization 0.00 μB/atom. Number 8: spin magnetization 0.00 μB/atom. Number 9: spin magnetization 0.00 μB/atom. Number 10: spin magnetization 0.00 μB/atom. Number 11: spin magnetization 0.00 μB/atom. Number 12: spin magnetization 0.00 μB/atom.